Here is a relaxed structure of Li3VF6 from Alexandria. Energies are from GGA+U.

- volume (Å³ per atom) = 10.8
- ΔE to the lowest computed polymorph (eV/atom) = 0.1291

```
data_Li3VF6
_chemical_formula_sum 'Li6 V2 F12'
_cell_length_a 6.429
_cell_length_b 9.985
_cell_length_c 3.359
_cell_angle_alpha 90.00
_cell_angle_beta 90.00
_cell_angle_gamma 90.00
_space_group_name_H-M_alt 'C m m m'
_space_group_IT_number 65
_space_group_name_Hall '-C 2 2'
loop_
_atom_site_label
_atom_site_fract_x
_atom_site_fract_y
_atom_site_fract_z
Li1 0.000 0.000 0.000
Li2 0.250 0.250 0.500
V1 0.000 0.500 0.000
F1 0.000 0.377 0.500
F2 0.223 0.121 0.000
```